# 1
Material: TlCoSeBr6
Method: DFT, PBE-GGA
State: optimized geometry

Cell: 7.7100 6.7379 7.0957 Å, 85.38 81.74 55.04°
Closest atoms and distances in Å follow each position.
Fractional positions:
Tl: 0.0049 0.9899 0.9993  4 Br 3.10-3.31
Co: 0.6715 0.6570 0.5002  6 Br 2.40-2.50
Se: 0.3119 0.3767 0.4996  4 Br 2.52-2.77
Br: 0.9505 0.3604 0.2767  1 Co 2.40
Br: 0.3886 0.9757 0.7116  1 Co 2.41
Br: 0.6876 0.3630 0.7246  1 Co 2.40
Br: 0.9394 0.6525 0.6660  1 Co 2.50, 1 Se 2.52
Br: 0.4088 0.6514 0.3340  1 Co 2.50, 1 Se 2.52
Br: 0.6366 0.9737 0.2880  1 Co 2.41

Output
**DOS(E_F)**: 0.717 states/eV/cell
**Energy relative to the elements, uncorrected**: -0.266 eV per atom
**Magnetization**: 0.00 Bohr magnetons per cell
**Final energy**: -25.39 eV per cell
**Space group**: P1 (1)


# 2
Material: TlCoSe2Br
Method: DFT, PBE-GGA
State: optimized geometry

Cell: 4.6808 4.6808 5.5364 Å, 90.00 90.00 90.00°
Closest atoms and distances in Å follow each position.
Fractional positions:
Tl: 0.5000 0.5000 0.5000  4 Br 3.31, 8 Se 3.62
Co: 0.0000 0.0000 0.0000  4 Se 2.34
Se: 0.0000 0.5000 0.0000  2 Co 2.34
Se: 0.5000 0.0000 0.0000  2 Co 2.34
Br: 0.0000 0.0000 0.5000  2 Co 2.77

Output
**Polymorph energy (0 for the lowest one)**: 0 meV per atom
**DOS(E_F)**: 4.311 states/eV/cell
**Energy relative to the elements, uncorrected**: -0.059 eV per atom
**Magnetization**: 2.71 Bohr magnetons per cell
**Final energy**: -18.41 eV per cell
**Space group**: P4/mmm (123)


# 3
Material: VCoSe2Br
Method: DFT, PBE-GGA
State: optimized geometry

Cell: 4.7799 4.7799 5.2541 Å, 90.00 90.00 90.00°
Closest atoms and distances in Å follow each position.
Fractional positions:
Co: 0.5000 0.5000 0.5000  4 Br 3.38, 8 Se 3.55
Se: 0.0000 0.5000 0.0000  2 V 2.39
Se: 0.5000 0.0000 0.0000  2 V 2.39
Br: 0.0000 0.0000 0.5000  2 V 2.63
V: 0.0000 0.0000 0.0000  4 Se 2.39, 2 Br 2.63

Output
**Polymorph energy (0 for the lowest one)**: 0 meV per atom
**DOS(E_F)**: 11.162 states/eV/cell
**Energy relative to the elements, uncorrected**: 0.463 eV per atom
**Magnetization**: 3.88 Bohr magnetons per cell
**Final energy**: -22.55 eV per cell
**Space group**: P4/mmm (123)